NbFe2 (PBE-GGA, relaxed); ΔH_f (0 K) = -0.14 eV/atom; density of states at the Fermi level = 4.35 states/eV/f.u.
1.0
4.8232 0.0000 0.0000
2.4116 4.1770 0.0000
2.4116 1.3923 3.9381
Fe Nb
4 2
Direct
0.0000 0.5000 0.5000 Fe
0.0000 0.0000 0.5000 Fe
0.0000 0.5000 0.0000 Fe
0.5000 0.5000 0.5000 Fe
0.3750 0.8750 0.8750 Nb
0.6250 0.1250 0.1250 Nb

=====

LiNp4S8 (PBE-GGA, relaxed); density of states at the Fermi level = 34.09 states/eV/f.u.; uncorrected energy = -7.759 eV/atom
1.0
-0.9095 -3.4408 5.9062
5.7677 -1.5892 3.9877
-1.0833 3.7456 6.0407
S Np Li
8 4 1
Direct
0.7362 0.2638 0.2638 S
0.2638 0.7362 0.7362 S
0.5000 0.7593 0.2407 S
0.2593 0.2407 0.2407 S
0.7407 0.7593 0.7593 S
0.0000 0.7362 0.2638 S
0.0000 0.2638 0.7362 S
0.5000 0.2407 0.7593 S
0.5000 0.0000 0.5000 Np
0.0000 0.0000 0.5000 Np
0.5000 0.5000 0.0000 Np
0.0000 0.5000 0.0000 Np
0.0000 0.0000 0.0000 Li

=====

TlIn2S (PBE-GGA, relaxed); density of states at the Fermi level = 1.18 states/eV/f.u.; polymorph energy (0 for the lowest one) = 0.00 eV/f.u.
1.0
3.7617 0.0000 0.0000
1.8809 3.2578 0.0000
1.8809 1.0859 9.0460
Tl In S
1 2 1
Direct
0.5000 0.5000 0.5000 Tl
0.2671 0.2671 0.1987 In
0.7329 0.7329 0.8013 In
0.0000 0.0000 0.0000 S

=====

Cs2AgI (PBE-GGA, relaxed); density of states at the Fermi level = 0.00 states/eV/f.u.; polymorph energy (0 for the lowest one) = 0.13 eV/f.u.
1.0
0.0000 4.6173 4.6173
4.6173 0.0000 4.6173
4.6173 4.6173 0.0000
Cs Ag I
2 1 1
Direct
0.2500 0.2500 0.2500 Cs
0.7500 0.7500 0.7500 Cs
0.0000 0.0000 0.0000 Ag
0.5000 0.5000 0.5000 I

=====

Zr3P (PBE-GGA, relaxed); ΔH_f (0 K) = -0.83 eV/atom; density of states at the Fermi level = 3.55 states/eV/f.u.; polymorph energy (0 for the lowest one) = 0.12 eV/f.u.
1.0
5.3376 0.0000 0.0000
2.6688 7.7211 0.0000
2.6688 0.0000 7.7211
P Zr
4 12
Direct
0.9865 0.7483 0.3350 P
0.0698 0.2517 0.6650 P
0.2653 0.6650 0.7483 P
0.6785 0.3350 0.2517 P
0.3682 0.9747 0.8087 Zr
0.8423 0.6084 0.6640 Zr
0.1516 0.0253 0.1913 Zr
0.9722 0.9625 0.6029 Zr
0.8232 0.8087 0.0253 Zr
0.4248 0.6029 0.0375 Zr
0.5493 0.3360 0.6084 Zr
0.6571 0.1913 0.9747 Zr
0.0653 0.3971 0.9625 Zr
0.5376 0.0375 0.3971 Zr
0.4937 0.6640 0.3916 Zr
0.1147 0.3916 0.3360 Zr

=====

TlRh3S (PBE-GGA, relaxed); density of states at the Fermi level = 5.97 states/eV/f.u.; polymorph energy (0 for the lowest one) = 0.00 eV/f.u.
1.0
4.4389 0.0000 0.0000
0.0000 4.4389 0.0000
0.0000 0.0000 4.4389
S Rh Tl
1 3 1
Direct
0.0000 0.0000 0.0000 S
0.0000 0.5000 0.0000 Rh
0.5000 0.0000 0.0000 Rh
0.0000 0.0000 0.5000 Rh
0.5000 0.5000 0.5000 Tl

=====

YTh2Pd2 (PBE-GGA, relaxed); ΔH_f (0 K) = -0.64 eV/atom; density of states at the Fermi level = 5.84 states/eV/f.u.; polymorph energy (0 for the lowest one) = 0.00 eV/f.u.
1.0
3.8798 0.0000 0.0000
0.0000 8.1135 0.0000
0.0000 0.0000 8.1135
Y Pd Th
2 4 4
Direct
0.0000 0.0000 0.0000 Y
0.0000 0.5000 0.5000 Y
0.0000 0.8728 0.6272 Pd
0.0000 0.1272 0.3728 Pd
0.0000 0.3728 0.8728 Pd
0.0000 0.6272 0.1272 Pd
0.5000 0.8280 0.3280 Th
0.5000 0.3280 0.1720 Th
0.5000 0.1720 0.6720 Th
0.5000 0.6720 0.8280 Th

=====

LaNpSeO2 (PBE-GGA, relaxed); density of states at the Fermi level = 8.78 states/eV/f.u.; uncorrected energy = -8.916 eV/atom
1.0
-3.3665 -1.2816 1.5753
1.4568 -3.6489 0.1446
3.2131 3.5945 4.8847
Np La O Se
1 1 2 1
Direct
0.1503 0.1503 0.3005 Np
0.8526 0.8526 0.7052 La
0.7462 0.2462 0.4924 O
0.2462 0.7462 0.4924 O
0.5047 0.5047 0.0094 Se

=====

> Which value of density of states at the Fermi level does entry 3 give?

1.18 states/eV/f.u.